Sc2TiBe2Ru5 (PBE-GGA, relaxed); spin magnetization = 0.00 μB per formula unit; symmetry = P4/mbm, No. 127; DFT formation energy = -43.45 kJ per mole of atoms
1.0
-2.579 -1.755 -0.641
3.311 -1.714 -8.637
4.414 -7.661 3.212
Ru Ti Be Sc
10 2 4 4
direct
0.500 0.000 0.500
0.500 0.293 0.570
0.500 0.070 0.793
0.500 0.207 0.070
0.500 0.500 0.000
0.500 0.707 0.430
0.500 0.430 0.293
0.500 0.570 0.707
0.500 0.930 0.207
0.500 0.793 0.930
0.000 0.000 0.000
0.000 0.500 0.500
0.000 0.124 0.624
0.000 0.376 0.124
0.000 0.624 0.876
0.000 0.876 0.376
0.000 0.173 0.327
0.000 0.827 0.673
0.000 0.327 0.827
0.000 0.673 0.173